# Cd2Ge2Mo, relaxed, DFT PBE-GGA
data_Cd2Ge2Mo
_space_group_name_H-M_alt 'P 4/m b m'
_space_group_IT_number 127
_space_group_name_Hall '-P 4 2ab'
_cell_length_a 7.6401
_cell_length_b 7.6401
_cell_length_c 3.4716
_cell_angle_alpha 90.00
_cell_angle_beta 90.00
_cell_angle_gamma 90.00
loop_
_atom_site_label
_atom_site_type_symbol
_atom_site_fract_x
_atom_site_fract_y
_atom_site_fract_z
_atom_site_occupancy
Cd1 Cd 0.1309 0.3691 0.0000 1
Ge1 Ge 0.1748 0.6748 0.5000 1
Mo1 Mo 0.0000 0.0000 0.0000 1
# * energy above the most stable polymorph in this dataset: 376 meV per atom
# * DOS at the Fermi energy: 0.60 states/eV per atom
# * E: -3.670 eV per atom
# * ΔH_f (0 K): 3.55 eV per formula unit